1.
Compound: Li4MgAg15
Source: Alexandria
Functional: PBE-GGA
Structure: optimized geometry

Summary:
- Total magnetic moment: 0.0 μB/cell
- Energy of formation: -123 meV/atom

Unit cell a=4.1522 b=4.1522 c=20.0531 alpha=90.00 beta=90.00 gamma=90.00
Space group P4/mmm (No. 123)
Unique sites:
1 Li 0.0000 0.0000 0.0994 x2
2 Li 0.0000 0.0000 0.2963 x2
3 Mg 0.0000 0.0000 0.5000 x1
4 Ag 0.0000 0.5000 0.0000 x2
5 Ag 0.0000 0.5000 0.1975 x4
6 Ag 0.0000 0.5000 0.3963 x4
7 Ag 0.5000 0.5000 0.0988 x2
8 Ag 0.5000 0.5000 0.2966 x2
9 Ag 0.5000 0.5000 0.5000 x1

2.
Compound: Cs2SnI6
Source: Alexandria
Functional: PBE-GGA
Structure: optimized geometry

Summary:
- Formation energy (no corrections): -0.752 eV per atom
- Total magnetic moment: 0.0 μB/cell
- Energy above the most stable polymorph in this dataset: 133 kJ/mol of formula units

Unit cell a=16.3489 b=9.6741 c=5.7543 alpha=90.00 beta=93.94 gamma=90.00
Space group C2/m (No. 12)
Unique sites:
1 Cs 0.1628 0.0000 0.1200 x4
2 Sn 0.0000 0.5000 0.5000 x2
3 I 0.0000 0.2986 0.0000 x4
4 I 0.1559 0.2782 0.6250 x8

3.
Compound: ZrAl
Source: Alexandria
Functional: PBE-GGA
Structure: optimized geometry

Summary:
- Total magnetic moment: 0.3 μB/cell
- Energy of formation: -10 meV/atom

Unit cell a=7.6906 b=7.6906 c=5.1519 alpha=90.00 beta=90.00 gamma=120.00
Space group P6_3/m (No. 176)
Unique sites:
1 Zr 0.0614 0.2595 0.2500 x6
2 Al 0.1125 0.4869 0.7500 x6

4.
Compound: LaTlRu
Source: Alexandria
Functional: PBE-GGA
Structure: optimized geometry

Summary:
- Total magnetic moment: 0.0 μB/cell
- Energy of formation: -57 meV/atom

Unit cell a=6.8063 b=6.8063 c=6.8063 alpha=90.00 beta=90.00 gamma=90.00
Space group F-43m (No. 216)
Unique sites:
1 La 0.0000 0.0000 0.0000 x4
2 Tl 0.0000 0.0000 0.5000 x4
3 Ru 0.2500 0.2500 0.7500 x4

5.
Compound: Rb2BaNpI8
Source: Alexandria
Functional: PBE-GGA
Structure: optimized geometry

Summary:
- Formation energy (no corrections): -1.235 eV per atom
- Total magnetic moment: 2.9 μB/cell

Unit cell a=7.7894 b=8.5145 c=10.2062 alpha=89.97 beta=89.90 gamma=88.54
Space group P-1 (No. 2)
Unique sites:
1 Rb 0.0034 0.4993 0.2466 x2
2 Ba 0.5000 0.0000 0.5000 x1
3 Np 0.5000 0.0000 0.0000 x1
4 I 0.2451 0.3211 0.5018 x2
5 I 0.2668 0.8791 0.2133 x2
6 I 0.2693 0.8752 0.7874 x2
7 I 0.3042 0.3060 0.9975 x2

6.
Compound: CaZn3In
Source: Alexandria
Functional: PBE-GGA
Structure: optimized geometry

Summary:
- Total magnetic moment: 0.0 μB/cell
- Energy above the most stable polymorph in this dataset: 455 kJ/mol of formula units
- Energy of formation: 700 meV/atom

Unit cell a=5.6072 b=5.6072 c=5.6072 alpha=90.00 beta=90.00 gamma=90.00
Space group Pm-3m (No. 221)
Unique sites:
1 Ca 0.0000 0.0000 0.0000 x1
2 Zn 0.0000 0.0000 0.5000 x3
3 In 0.5000 0.5000 0.5000 x1

7.
Compound: Cs3Rb6Au5
Source: Alexandria
Functional: PBE-GGA
Structure: optimized geometry

Summary:
- Total magnetic moment: 0.0 μB/cell
- Energy of formation: -175 meV/atom

Unit cell a=5.1498 b=18.3568 c=14.5848 alpha=90.00 beta=90.00 gamma=90.00
Space group Pmmn (No. 59, origin choice 2)
Unique sites:
1 Cs 0.2500 0.0317 0.2493 x4
2 Cs 0.2500 0.7500 0.2590 x2
3 Rb 0.2500 0.0938 0.9312 x4
4 Rb 0.2500 0.2500 0.1614 x2
5 Rb 0.2500 0.2500 0.4972 x2
6 Rb 0.2500 0.5858 0.5201 x4
7 Au 0.2500 0.1006 0.6564 x4
8 Au 0.2500 0.6018 0.9052 x4
9 Au 0.2500 0.7500 0.6611 x2

8.
Compound: Ba3HgAs4
Source: Alexandria
Functional: PBE-GGA
Structure: optimized geometry

Summary:
- Total magnetic moment: 0.0 μB/cell
- Energy of formation: -761 meV/atom

Unit cell a=5.0316 b=6.1422 c=17.3636 alpha=90.00 beta=90.00 gamma=90.00
Space group Immm (No. 71)
Unique sites:
1 Ba 0.0000 0.0000 0.0000 x2
2 Ba 0.0000 0.5000 0.1910 x4
3 Hg 0.0000 0.0000 0.5000 x2
4 As 0.0000 0.2986 0.3752 x8

9.
Compound: In4BiSe2
Source: Alexandria
Functional: PBE-GGA
Structure: optimized geometry

Summary:
- Formation energy (no corrections): -0.191 eV per atom
- Total magnetic moment: 0.0 μB/cell

Unit cell a=7.4885 b=11.0057 c=10.5309 alpha=90.00 beta=90.00 gamma=90.00
Space group Cccm (No. 66)
Unique sites:
1 In 0.2419 0.0154 0.0000 x8
2 In 0.2500 0.2500 0.2800 x8
3 Bi 0.0000 0.0000 0.2500 x4
4 Se 0.0162 0.3148 0.5000 x8

10.
Compound: BOsPdPb2
Source: Alexandria
Functional: PBE-GGA
Structure: optimized geometry

Summary:
- Total magnetic moment: 0.0 μB/cell
- Energy of formation: 1599 meV/atom

Unit cell a=5.2180 b=5.2180 c=4.9632 alpha=90.00 beta=90.00 gamma=90.00
Space group P4/mmm (No. 123)
Unique sites:
1 B 0.0000 0.0000 0.0000 x1
2 Os 0.5000 0.5000 0.5000 x1
3 Pd 0.5000 0.5000 0.0000 x1
4 Pb 0.0000 0.5000 0.5000 x2

11.
Compound: Tb2DyTi
Source: Alexandria
Functional: PBE-GGA
Structure: optimized geometry

Summary:
- Total magnetic moment: 5.5 μB/cell
- Energy above the most stable polymorph in this dataset: 99 kJ/mol of formula units
- Energy of formation: 424 meV/atom

Unit cell a=3.3592 b=3.3592 c=35.1951 alpha=90.00 beta=90.00 gamma=120.00
Space group R-3m (No. 166, hexagonal axes)
Unique sites:
1 Tb 0.0000 0.0000 0.0838 x6
2 Dy 0.0000 0.0000 0.5000 x3
3 Ti 0.0000 0.0000 0.0000 x3

12.
Compound: ZrBeMo3
Source: Alexandria
Functional: PBE-GGA
Structure: optimized geometry

Summary:
- Total magnetic moment: 0.0 μB/cell
- Energy above the most stable polymorph in this dataset: 868 kJ/mol of formula units
- Energy of formation: 2347 meV/atom

Unit cell a=4.7861 b=4.7861 c=4.7861 alpha=90.00 beta=90.00 gamma=90.00
Space group Pm-3m (No. 221)
Unique sites:
1 Zr 0.0000 0.0000 0.0000 x1
2 Be 0.5000 0.5000 0.5000 x1
3 Mo 0.0000 0.0000 0.5000 x3

Values for D(E_F), states/eV/atom, ordered as above
0.34 0.26 1.00 0.47 0.43 1.50 0.75 0.38 0.35 0.83 1.60 0.95